[1]
# Ca2TbBi3

A relaxed Ca2TbBi3 crystal (GGA-PBE, Alexandria).

As for the energy: -4.078 eV/atom. The magnetic moment is 0.00 μB/f.u. The value obtained for the energy relative to the elements is -0.699 eV/atom.

Lattice parameters (Å, degrees): 3.737 6.549 16.036 90.00 90.00 90.00
Space group Immm (No. 71)
One atom of each set of equivalent atoms:
Ca 0.000 0.000 0.167 x4
Tb 0.000 0.000 0.500 x2
Bi 0.000 0.500 0.164 x4
Bi 0.000 0.500 0.500 x2

[2]
# KY4Ga3O12

A relaxed KY4Ga3O12 crystal (GGA-PBE, Alexandria).

As for the energy: -7.161 eV/atom. The magnetic moment is 2.05 μB/f.u. The formation energy from raw total energies comes out at -2385 meV/atom.

Lattice parameters (Å, degrees): 8.240 8.240 8.240 90.00 90.00 90.00
Space group Im-3 (No. 204)
One atom of each set of equivalent atoms:
K 0.000 0.000 0.000 x2
Y 0.250 0.250 0.250 x8
Ga 0.000 0.000 0.500 x6
O 0.000 0.331 0.159 x24

> Look up the energy of the second one.

-7.161 eV/atom